# 1
The following is a DFT calculation (PBE) of an optimized crystal structure of Sm5Ho2.

Computed properties:
symmetry = C2/c
E_form = 0.02 eV/atom
distance to the lowest polymorph of the same formula = 0.0070 eV/atom
spin magnetization = 0.000 μB per cell

Cell lengths 6.3271, 9.3140, 8.5685 Å; angles 94.88, 111.67, 90.00 degrees
With the nearest neighbours (Å) after each atom.
Fractional positions:
Sm: 0.3091 0.4640 0.2827  4 Ho 3.54-3.66, 8 Sm 3.57-3.67
Sm: 0.0264 0.0360 0.7173  4 Ho 3.54-3.66, 8 Sm 3.57-3.67
Sm: 0.1197 0.6786 0.5709  9 Sm 3.58-3.67, 3 Ho 3.58-3.67
Sm: 0.5487 0.8214 0.4291  9 Sm 3.58-3.67, 3 Ho 3.58-3.67
Sm: 0.8803 0.3214 0.4291  9 Sm 3.58-3.67, 3 Ho 3.58-3.67
Sm: 0.4513 0.1786 0.5709  9 Sm 3.58-3.67, 3 Ho 3.58-3.67
Sm: 0.9736 0.9640 0.2827  4 Ho 3.54-3.66, 8 Sm 3.57-3.67
Sm: 0.6909 0.5360 0.7173  4 Ho 3.54-3.66, 8 Sm 3.57-3.67
Sm: 0.8325 0.2500 0.0000  6 Sm 3.57-3.64, 6 Ho 3.57-3.66
Sm: 0.1675 0.7500 0.0000  6 Sm 3.57-3.64, 6 Ho 3.57-3.66
Ho: 0.2641 0.3929 0.8587  10 Sm 3.54-3.67, 2 Ho 3.55-3.64
Ho: 0.4053 0.1071 0.1413  10 Sm 3.54-3.67, 2 Ho 3.55-3.64
Ho: 0.7359 0.6071 0.1413  10 Sm 3.54-3.67, 2 Ho 3.55-3.64
Ho: 0.5947 0.8929 0.8587  10 Sm 3.54-3.67, 2 Ho 3.55-3.64

# 2
The following is a DFT calculation (PBE) of an optimized crystal structure of Sm4Ho.

Computed properties:
symmetry = I4/mmm
E_form = 0.02 eV/atom
distance to the lowest polymorph of the same formula = 0.0041 eV/atom
spin magnetization = 0.000 μB per cell

Cell lengths 3.6059, 3.6059, 13.0180 Å; angles 97.96, 97.96, 90.00 degrees
With the nearest neighbours (Å) after each atom.
Fractional positions:
Sm: 0.5985 0.5985 0.1970  4 Ho 3.58, 8 Sm 3.61-3.62
Sm: 0.1993 0.1993 0.3986  12 Sm 3.61-3.63
Sm: 0.8007 0.8007 0.6014  12 Sm 3.61-3.63
Sm: 0.4015 0.4015 0.8030  4 Ho 3.58, 8 Sm 3.61-3.62
Ho: 0.0000 0.0000 0.0000  8 Sm 3.58, 4 Ho 3.61

# 3
The following is a DFT calculation (PBE) of an optimized crystal structure of Sm2Ho7.

Computed properties:
symmetry = P-31m
E_form = 0.02 eV/atom
distance to the lowest polymorph of the same formula = 0.0000 eV/atom
spin magnetization = 0.000 μB per cell

Cell lengths 6.1420, 6.1420, 8.6776 Å; angles 90.00, 90.00, 120.00 degrees
With the nearest neighbours (Å) after each atom.
Fractional positions:
Sm: 0.3333 0.6667 0.0000  3 Sm 3.55, 9 Ho 3.55-3.56
Sm: 0.6667 0.3333 0.0000  3 Sm 3.55, 9 Ho 3.55-3.56
Ho: 0.0000 0.0000 0.0000  6 Sm 3.55, 6 Ho 3.56
Ho: 0.6672 0.0000 0.3353  10 Ho 3.51-3.56, 2 Sm 3.56
Ho: 0.0000 0.6672 0.3353  10 Ho 3.51-3.56, 2 Sm 3.56
Ho: 0.3328 0.3328 0.3353  10 Ho 3.51-3.56, 2 Sm 3.56
Ho: 0.0000 0.3328 0.6647  10 Ho 3.51-3.56, 2 Sm 3.56
Ho: 0.3328 0.0000 0.6647  10 Ho 3.51-3.56, 2 Sm 3.56
Ho: 0.6672 0.6672 0.6647  10 Ho 3.51-3.56, 2 Sm 3.56

# 4
The following is a DFT calculation (PBE) of an optimized crystal structure of Sm3Ho2.

Computed properties:
symmetry = C2/m
E_form = 0.02 eV/atom
spin magnetization = 0.000 μB per cell

Cell lengths 5.0704, 6.2055, 6.2178 Å; angles 80.45, 65.94, 65.89 degrees
With the nearest neighbours (Å) after each atom.
Fractional positions:
Sm: 0.7993 0.2995 0.1019  6 Ho 3.57-3.59, 6 Sm 3.58-3.60
Sm: 0.0000 0.5000 0.5000  6 Ho 3.58-3.59, 6 Sm 3.58-3.60
Sm: 0.2007 0.7005 0.8981  6 Ho 3.57-3.59, 6 Sm 3.58-3.60
Ho: 0.3997 0.9012 0.2995  9 Sm 3.57-3.59, 3 Ho 3.58-3.59
Ho: 0.6003 0.0988 0.7005  9 Sm 3.57-3.59, 3 Ho 3.58-3.59

# 5
The following is a DFT calculation (PBE) of an optimized crystal structure of SmHo.

Computed properties:
symmetry = C2/m
E_form = 0.12 eV/atom
distance to the lowest polymorph of the same formula = 0.1031 eV/atom
spin magnetization = 0.000 μB per cell

Cell lengths 3.7138, 5.8911, 6.9010 Å; angles 115.27, 74.44, 90.00 degrees
With the nearest neighbours (Å) after each atom.
Fractional positions:
Sm: 0.1164 0.1315 0.2630  6 Ho 3.48-3.51, 4 Sm 3.63-3.71
Sm: 0.8836 0.8685 0.7370  6 Ho 3.48-3.51, 4 Sm 3.63-3.71
Ho: 0.3703 0.3805 0.7610  4 Ho 3.40-3.71, 6 Sm 3.48-3.51
Ho: 0.6297 0.6195 0.2390  4 Ho 3.40-3.71, 6 Sm 3.48-3.51

# 6
The following is a DFT calculation (PBE) of an optimized crystal structure of SmHo2Sn.

Computed properties:
symmetry = F-43m
E_form = -0.24 eV/atom
distance to the lowest polymorph of the same formula = 0.1808 eV/atom
spin magnetization = 0.010 μB per cell

Cell lengths 5.4255, 5.4255, 5.4246 Å; angles 59.99, 59.99, 60.00 degrees
With the nearest neighbours (Å) after each atom.
Fractional positions:
Sm: 0.4999 0.4999 0.5003  4 Ho 3.32, 4 Sn 3.32
Ho: 0.0001 0.0001 0.9998  4 Sn 3.32, 4 Ho 3.32
Ho: 0.2501 0.2501 0.2496  4 Sm 3.32, 4 Ho 3.32
Sn: 0.7499 0.7499 0.7503  4 Sm 3.32, 4 Ho 3.32

# 7
The following is a DFT calculation (PBE) of an optimized crystal structure of Sm5Ho2Sn4.

Computed properties:
symmetry = C2/m
E_form = -0.41 eV/atom
spin magnetization = 0.000 μB per cell

Cell lengths 4.4158, 7.8046, 11.7173 Å; angles 115.22, 100.86, 90.00 degrees
With the nearest neighbours (Å) after each atom.
Fractional positions:
Sm: 0.1730 0.9044 0.3460  4 Sn 3.15-3.23
Sm: 0.8270 0.0956 0.6540  4 Sn 3.15-3.23
Sm: 0.1487 0.3448 0.2974  3 Sn 3.20-3.25, 2 Ho 3.56
Sm: 0.5000 0.0000 0.0000  4 Sn 3.13
Sm: 0.8513 0.6552 0.7026  3 Sn 3.20-3.25, 2 Ho 3.56
Ho: 0.4277 0.4574 0.8554  5 Sn 3.00-3.24, 1 Ho 3.10
Ho: 0.5723 0.5426 0.1446  5 Sn 3.00-3.24, 1 Ho 3.10
Sn: 0.7159 0.6787 0.4318  1 Ho 3.00, 6 Sm 3.15-3.25
Sn: 0.0206 0.7477 0.0411  3 Sm 3.13-3.17, 4 Ho 3.22-3.24
Sn: 0.2841 0.3213 0.5682  1 Ho 3.00, 6 Sm 3.15-3.25
Sn: 0.9794 0.2523 0.9589  3 Sm 3.13-3.17, 4 Ho 3.22-3.24

# 8
The following is a DFT calculation (PBE) of an optimized crystal structure of Sm2Ho3Sn4.

Computed properties:
symmetry = P2_1/c
E_form = -0.78 eV/atom
spin magnetization = 0.000 μB per cell

Cell lengths 7.9989, 8.3158, 8.2818 Å; angles 90.00, 90.00, 110.92 degrees
With the nearest neighbours (Å) after each atom.
Fractional positions:
Sm: 0.5606 0.1930 0.3211  5 Sn 3.16-3.43
Sm: 0.9394 0.8070 0.8211  5 Sn 3.16-3.43
Sm: 0.4394 0.8070 0.6789  5 Sn 3.16-3.43
Sm: 0.0606 0.1930 0.1789  5 Sn 3.16-3.43
Ho: 0.0000 0.5000 0.5000  6 Sn 3.15-3.26
Ho: 0.5000 0.5000 0.0000  6 Sn 3.15-3.26
Ho: 0.7380 0.2459 0.8331  6 Sn 3.03-3.19
Ho: 0.7620 0.7541 0.3331  6 Sn 3.03-3.19
Ho: 0.2620 0.7541 0.1669  6 Sn 3.03-3.19
Ho: 0.2380 0.2459 0.6669  6 Sn 3.03-3.19
Sn: 0.8359 0.0830 0.5382  4 Ho 3.03-3.26, 2 Sm 3.22-3.39
Sn: 0.6641 0.9170 0.0382  4 Ho 3.03-3.26, 2 Sm 3.22-3.39
Sn: 0.1641 0.9170 0.4618  4 Ho 3.03-3.26, 2 Sm 3.22-3.39
Sn: 0.3359 0.0830 0.9618  4 Ho 3.03-3.26, 2 Sm 3.22-3.39
Sn: 0.8634 0.4877 0.1356  5 Ho 3.09-3.20, 1 Sn 3.09, 2 Sm 3.16-3.37
Sn: 0.6366 0.5123 0.6356  5 Ho 3.09-3.20, 1 Sn 3.09, 2 Sm 3.16-3.37
Sn: 0.1366 0.5123 0.8644  5 Ho 3.09-3.20, 1 Sn 3.09, 2 Sm 3.16-3.37
Sn: 0.3634 0.4877 0.3644  5 Ho 3.09-3.20, 1 Sn 3.09, 2 Sm 3.16-3.37

# 9
The following is a DFT calculation (PBE) of an optimized crystal structure of SmHo2Sn.

Computed properties:
symmetry = P4/mmm
E_form = -0.30 eV/atom
distance to the lowest polymorph of the same formula = 0.1211 eV/atom
spin magnetization = 0.000 μB per cell

Cell lengths 3.7369, 3.7369, 8.5455 Å; angles 90.00, 90.00, 90.00 degrees
With the nearest neighbours (Å) after each atom.
Fractional positions:
Ho: 0.0000 0.0000 0.7827  4 Sn 3.23, 4 Sm 3.58
Ho: 0.0000 0.0000 0.2173  4 Sn 3.23, 4 Sm 3.58
Sm: 0.5000 0.5000 0.5000  8 Ho 3.58, 4 Sm 3.74
Sn: 0.5000 0.5000 0.0000  8 Ho 3.23

# 10
The following is a DFT calculation (PBE) of an optimized crystal structure of SmHoSn2.

Computed properties:
symmetry = Amm2
E_form = -0.74 eV/atom
spin magnetization = 0.000 μB per cell

Cell lengths 4.5365, 4.3298, 6.1821 Å; angles 90.00, 111.51, 90.00 degrees
With the nearest neighbours (Å) after each atom.
Fractional positions:
Sm: 0.7170 0.0000 0.9736  7 Sn 3.14-3.46
Ho: 0.4487 0.5000 0.4358  7 Sn 3.14-3.46
Sn: 0.1753 0.5000 0.8896  2 Sn 3.04, 1 Ho 3.14, 4 Sm 3.17
Sn: 0.9900 0.0000 0.5190  2 Sn 3.04, 1 Sm 3.14, 4 Ho 3.17